Density functional theory data (PBE+U) for a relaxed VCdN2O crystal.

Results
Total energy   -0.216 Ha/atom
Density of states at the Fermi level   2.59 states/eV/cell
SG   P4/mmm

abc: 3.8767 3.8767 3.8120
angles: 90.00 90.00 90.00
Last column: nearest neighbours and their distance in Å.
Element x y z (fractional)
V: 0.0000 0.0000 0.0000  2 O 1.91, 4 N 1.94
Cd: 0.5000 0.5000 0.5000  8 N 2.72, 4 O 2.74
N: 0.0000 0.5000 0.0000  2 V 1.94
N: 0.5000 0.0000 0.0000  2 V 1.94
O: 0.0000 0.0000 0.5000  2 V 1.91